Entry 1:
Compound: AlZnRu2W
Source: Alexandria
Functional: PBE
Structure: relaxed

Properties
- SG = P4/mmm (123)

Lattice parameters (Å, degrees): 4.482 4.226 4.482 90.00 90.00 90.00
Last column: magnetic moment on the atom in μB.
Element x y z (fractional)
Ru  0.000  0.000  0.500  0.19
Ru  0.500  0.000  0.000  0.22
W  0.500  0.500  0.500  1.15
Al  0.000  0.500  0.000  -0.01
Zn  0.000  0.000  0.000  0.01

Entry 2:
Compound: HfGa4Rh
Source: Alexandria
Functional: PBE
Structure: relaxed

Properties
- SG = P2_1/c (14)

Lattice parameters (Å, degrees): 4.764 7.240 6.744 90.00 59.42 90.00
Element x y z (fractional)
Ga  0.729  0.825  0.732
Ga  0.774  0.675  0.267
Ga  0.271  0.175  0.268
Ga  0.726  0.175  0.733
Ga  0.274  0.825  0.267
Ga  0.771  0.325  0.268
Ga  0.226  0.325  0.733
Ga  0.229  0.675  0.732
Hf  0.000  0.000  0.000
Hf  0.500  0.500  0.000
Rh  0.000  0.500  0.500
Rh  0.500  0.000  0.500

Entry 3:
Compound: RbNaHg2Ge
Source: Alexandria
Functional: PBE
Structure: relaxed

Properties
- SG = P4/mmm (123)

Lattice parameters (Å, degrees): 5.640 5.640 5.623 90.00 90.00 90.00
Element x y z (fractional)
Ge  0.000  0.000  0.000
Na  0.000  0.000  0.500
Rb  0.500  0.500  0.500
Hg  0.000  0.500  0.000
Hg  0.500  0.000  0.000

| no. | formation energy from the elements (meV per atom) |
| --- | --- |
| 1 | 1407 |
| 2 | -308 |
| 3 | -49 |